(1)
# PBE-GGA PmSi2AgO6, relaxed
data_PmSi2AgO6
_cell_length_a 7.5059
_cell_length_b 11.2198
_cell_length_c 6.8203
_cell_angle_alpha 90.00
_cell_angle_beta 102.89
_cell_angle_gamma 90.00
_space_group_name_H-M_alt 'C 1 2/c 1'
_space_group_IT_number 15
loop_
_space_group_symop_operation_xyz
'x,y,z'
'-x,-y,-z'
'-x,y,-z+1/2'
'x,-y,z+1/2'
'x+1/2,y+1/2,z'
'-x+1/2,-y+1/2,-z'
'-x+1/2,y+1/2,-z+1/2'
'x+1/2,-y+1/2,z+1/2'
loop_
_atom_site_label
_atom_site_fract_x
_atom_site_fract_y
_atom_site_fract_z
Pm1 0.0000 0.0926 0.2500
Si1 0.1658 0.1661 0.8698
Ag1 0.0000 0.4907 0.2500
O1 0.0556 0.1532 0.6035
O2 0.2263 0.2059 0.1478
O3 0.2426 0.4678 0.1084
# E_form (uncorrected) in eV/atom: -2.4276
# N(E_F) in states/eV/cell: 0.00

(2)
# PBE-GGA PmSiAgO4, relaxed
data_PmSiAgO4
_cell_length_a 6.0215
_cell_length_b 6.1946
_cell_length_c 6.7142
_cell_angle_alpha 90.00
_cell_angle_beta 100.48
_cell_angle_gamma 90.00
_space_group_name_H-M_alt 'P 1 21/m 1'
_space_group_IT_number 11
loop_
_space_group_symop_operation_xyz
'x,y,z'
'-x,-y,-z'
'-x,y+1/2,-z'
'x,-y+1/2,z'
loop_
_atom_site_label
_atom_site_fract_x
_atom_site_fract_y
_atom_site_fract_z
Pm1 0.1963 0.2500 0.0455
Si1 0.2792 0.7500 0.8502
Ag1 0.4416 0.7500 0.3860
O1 0.1054 0.5430 0.8347
O2 0.4504 0.7500 0.0738
O3 0.4702 0.7500 0.7028
# E_form (uncorrected) in eV/atom: -2.4246
# N(E_F) in states/eV/cell: 0.00

(3)
# PBE-GGA PmSiAg2O4, relaxed
data_PmSiAg2O4
_cell_length_a 6.8698
_cell_length_b 6.8784
_cell_length_c 10.9577
_cell_angle_alpha 90.00
_cell_angle_beta 90.00
_cell_angle_gamma 90.00
_space_group_name_H-M_alt 'F m m 2'
_space_group_IT_number 42
_space_group_name_Hall 'F 2 -2'
loop_
_atom_site_label
_atom_site_fract_x
_atom_site_fract_y
_atom_site_fract_z
Pm1 0.0000 0.0000 0.0000
Si1 0.0000 0.0000 0.5004
Ag1 0.2500 0.2500 0.2503
O1 0.0000 0.1988 0.4150
O2 0.1991 0.0000 0.5858
# E_form (uncorrected) in eV/atom: -1.8358
# N(E_F) in states/eV/cell: 6.78

(4)
# PBE-GGA SrPm2AgO5, relaxed
data_SrPm2AgO5
_cell_length_a 6.7074
_cell_length_b 6.7074
_cell_length_c 12.3152
_cell_angle_alpha 90.00
_cell_angle_beta 90.00
_cell_angle_gamma 90.00
_space_group_name_H-M_alt 'I 4/m c m'
_space_group_IT_number 140
_space_group_name_Hall '-I 4 2c'
loop_
_atom_site_label
_atom_site_fract_x
_atom_site_fract_y
_atom_site_fract_z
Sr1 0.0000 0.0000 0.2500
Pm1 0.1691 0.3309 0.0000
Ag1 0.0000 0.5000 0.2500
O1 0.0000 0.0000 0.0000
O2 0.1519 0.3481 0.3797
# E_form (uncorrected) in eV/atom: -2.3368
# N(E_F) in states/eV/cell: 28.10

(5)
# PBE-GGA PmTaAgO5, relaxed
data_PmTaAgO5
_cell_length_a 6.8414
_cell_length_b 10.6409
_cell_length_c 8.3538
_cell_angle_alpha 90.00
_cell_angle_beta 112.69
_cell_angle_gamma 90.00
_space_group_name_H-M_alt 'C 1 2/c 1'
_space_group_IT_number 15
loop_
_space_group_symop_operation_xyz
'x,y,z'
'-x,-y,-z'
'-x,y,-z+1/2'
'x,-y,z+1/2'
'x+1/2,y+1/2,z'
'-x+1/2,-y+1/2,-z'
'-x+1/2,y+1/2,-z+1/2'
'x+1/2,-y+1/2,z+1/2'
loop_
_atom_site_label
_atom_site_fract_x
_atom_site_fract_y
_atom_site_fract_z
Pm1 0.2500 0.2500 0.0000
Ta1 0.0000 0.0412 0.2500
Ag1 0.0000 0.4575 0.2500
O1 0.0000 0.3408 0.7500
O2 0.0014 0.1427 0.4287
O3 0.2457 0.0640 0.8344
# E_form (uncorrected) in eV/atom: -2.2132
# N(E_F) in states/eV/cell: 2.07

(6)
# PBE-GGA Pm2TaAgO6, relaxed
data_Pm2TaAgO6
_cell_length_a 5.3507
_cell_length_b 5.3507
_cell_length_c 5.4711
_cell_angle_alpha 90.00
_cell_angle_beta 90.00
_cell_angle_gamma 90.00
_space_group_name_H-M_alt 'P 4 m m'
_space_group_IT_number 99
loop_
_space_group_symop_operation_xyz
'x,y,z'
'-y,x,z'
'-x,-y,z'
'y,-x,z'
'-x,y,z'
'y,x,z'
'x,-y,z'
'-y,-x,z'
loop_
_atom_site_label
_atom_site_fract_x
_atom_site_fract_y
_atom_site_fract_z
Pm1 0.0000 0.5000 0.0000
Ta1 0.0000 0.0000 0.6081
Ag1 0.5000 0.5000 0.4967
O1 0.0000 0.0000 0.2548
O2 0.2343 0.2343 0.7533
O3 0.5000 0.5000 0.1142
# E_form (uncorrected) in eV/atom: -2.5334
# N(E_F) in states/eV/cell: 0.00

(7)
# PBE-GGA PmTaAg2O6, relaxed
data_PmTaAg2O6
_cell_length_a 5.5360
_cell_length_b 5.6090
_cell_length_c 5.9824
_cell_angle_alpha 63.72
_cell_angle_beta 65.66
_cell_angle_gamma 62.53
_space_group_name_H-M_alt 'P 1'
_space_group_IT_number 1
loop_
_space_group_symop_operation_xyz
'x,y,z'
loop_
_atom_site_label
_atom_site_fract_x
_atom_site_fract_y
_atom_site_fract_z
Pm1 0.0000 0.0000 0.0000
Ta1 0.5227 0.5180 0.4548
Ag1 0.1982 0.2048 0.3967
Ag2 0.7330 0.7407 0.7868
O1 0.1748 0.7999 0.6298
O2 0.2900 0.5739 0.2221
O3 0.3750 0.1792 0.6552
O4 0.6295 0.8379 0.1959
O5 0.7044 0.3817 0.7202
O6 0.8781 0.2807 0.2416
# E_form (uncorrected) in eV/atom: -1.8071

(8)
# PBE-GGA PmTcAg2O6, relaxed
data_PmTcAg2O6
_cell_length_a 5.7206
_cell_length_b 5.7206
_cell_length_c 14.6335
_cell_angle_alpha 90.00
_cell_angle_beta 90.00
_cell_angle_gamma 120.00
_space_group_name_H-M_alt 'R 3'
_space_group_IT_number 146
_space_group_name_Hall 'R 3'
loop_
_atom_site_label
_atom_site_fract_x
_atom_site_fract_y
_atom_site_fract_z
Pm1 0.0000 0.0000 0.0000
Tc1 0.0000 0.0000 0.4978
Ag1 0.0000 0.0000 0.2656
Ag2 0.0000 0.0000 0.7440
O1 0.0396 0.4157 0.2352
O2 0.0829 0.7032 0.0832
# E_form (uncorrected) in eV/atom: -1.3716
# N(E_F) in states/eV/cell: 0.02

(9)
# PBE-GGA Pm2TcAgO8, relaxed
data_Pm2TcAgO8
_cell_length_a 4.2646
_cell_length_b 5.3950
_cell_length_c 7.0132
_cell_angle_alpha 83.12
_cell_angle_beta 86.42
_cell_angle_gamma 83.64
_space_group_name_H-M_alt 'P -1'
_space_group_IT_number 2
loop_
_space_group_symop_operation_xyz
'x,y,z'
'-x,-y,-z'
loop_
_atom_site_label
_atom_site_fract_x
_atom_site_fract_y
_atom_site_fract_z
Pm1 0.1787 0.0159 0.2396
Tc1 0.5000 0.5000 0.5000
Ag1 0.5000 0.5000 0.0000
O1 0.1957 0.7700 0.5432
O2 0.2732 0.8484 0.9440
O3 0.2823 0.4414 0.2653
O4 0.2832 0.2708 0.6559
# E_form (uncorrected) in eV/atom: -1.8406

(10)
# PBE-GGA Pm2TcAgO6, relaxed
data_Pm2TcAgO6
_cell_length_a 5.3460
_cell_length_b 5.3460
_cell_length_c 5.3881
_cell_angle_alpha 90.00
_cell_angle_beta 90.00
_cell_angle_gamma 90.00
_space_group_name_H-M_alt 'P 4 m m'
_space_group_IT_number 99
loop_
_space_group_symop_operation_xyz
'x,y,z'
'-y,x,z'
'-x,-y,z'
'y,-x,z'
'-x,y,z'
'y,x,z'
'x,-y,z'
'-y,-x,z'
loop_
_atom_site_label
_atom_site_fract_x
_atom_site_fract_y
_atom_site_fract_z
Pm1 0.0000 0.5000 0.0000
Tc1 0.0000 0.0000 0.5914
Ag1 0.5000 0.5000 0.5057
O1 0.0000 0.0000 0.2566
O2 0.2294 0.2294 0.7540
O3 0.5000 0.5000 0.1116
# E_form (uncorrected) in eV/atom: -1.9792

(11)
# PBE-GGA PmTc2AgO8, relaxed
data_PmTc2AgO8
_cell_length_a 6.1143
_cell_length_b 6.1143
_cell_length_c 6.6985
_cell_angle_alpha 90.00
_cell_angle_beta 90.00
_cell_angle_gamma 120.00
_space_group_name_H-M_alt 'P -3 m 1'
_space_group_IT_number 164
_space_group_name_Hall '-P 3 2"'
loop_
_atom_site_label
_atom_site_fract_x
_atom_site_fract_y
_atom_site_fract_z
Pm1 0.0000 0.0000 0.0000
Tc1 0.3333 0.6667 0.3052
Ag1 0.0000 0.0000 0.5000
O1 0.1718 0.3436 0.2189
O2 0.3333 0.6667 0.5641
# E_form (uncorrected) in eV/atom: -1.5807
# N(E_F) in states/eV/cell: 5.75

(12)
# PBE-GGA PmAgTeO6, relaxed
data_PmAgTeO6
_cell_length_a 5.0660
_cell_length_b 5.0660
_cell_length_c 10.0731
_cell_angle_alpha 90.00
_cell_angle_beta 90.00
_cell_angle_gamma 90.00
_space_group_name_H-M_alt 'P 42 n m'
_space_group_IT_number 102
loop_
_space_group_symop_operation_xyz
'x,y,z'
'-y+1/2,x+1/2,z+1/2'
'-x,-y,z'
'y+1/2,-x+1/2,z+1/2'
'-x+1/2,y+1/2,z+1/2'
'y,x,z'
'x+1/2,-y+1/2,z+1/2'
'-y,-x,z'
loop_
_atom_site_label
_atom_site_fract_x
_atom_site_fract_y
_atom_site_fract_z
Pm1 0.0000 0.0000 0.0000
Ag1 0.0000 0.0000 0.6742
Te1 0.0000 0.0000 0.3383
O1 0.1767 0.1767 0.4868
O2 0.1834 0.1834 0.1955
O3 0.2258 0.2258 0.8390
# E_form (uncorrected) in eV/atom: -1.3003
# N(E_F) in states/eV/cell: 12.35

(13)
# PBE-GGA Pm2AgTeO6, relaxed
data_Pm2AgTeO6
_cell_length_a 5.9141
_cell_length_b 5.9141
_cell_length_c 15.5545
_cell_angle_alpha 90.00
_cell_angle_beta 90.00
_cell_angle_gamma 120.00
_space_group_name_H-M_alt 'R 3'
_space_group_IT_number 146
_space_group_name_Hall 'R 3'
loop_
_atom_site_label
_atom_site_fract_x
_atom_site_fract_y
_atom_site_fract_z
Pm1 0.0000 0.0000 0.0000
Pm2 0.0000 0.0000 0.4891
Ag1 0.0000 0.0000 0.2335
Te1 0.0000 0.0000 0.6978
O1 0.0147 0.3722 0.4286
O2 0.0145 0.7412 0.6092
# E_form (uncorrected) in eV/atom: -2.0183
# N(E_F) in states/eV/cell: 11.67

(14)
# PBE-GGA PmAgTeO5, relaxed
data_PmAgTeO5
_cell_length_a 8.7949
_cell_length_b 9.4009
_cell_length_c 8.6674
_cell_angle_alpha 90.00
_cell_angle_beta 119.76
_cell_angle_gamma 90.00
_space_group_name_H-M_alt 'C 1 2/c 1'
_space_group_IT_number 15
loop_
_space_group_symop_operation_xyz
'x,y,z'
'-x,-y,-z'
'-x,y,-z+1/2'
'x,-y,z+1/2'
'x+1/2,y+1/2,z'
'-x+1/2,-y+1/2,-z'
'-x+1/2,y+1/2,-z+1/2'
'x+1/2,-y+1/2,z+1/2'
loop_
_atom_site_label
_atom_site_fract_x
_atom_site_fract_y
_atom_site_fract_z
Pm1 0.0000 0.0000 0.0000
Ag1 0.0000 0.2936 0.2500
Te1 0.0000 0.3578 0.7500
O1 0.0000 0.0692 0.2500
O2 0.9997 0.2501 0.5704
O3 0.1823 0.4876 0.8450
# E_form (uncorrected) in eV/atom: -1.4485
# N(E_F) in states/eV/cell: 1.85

(15)
# PBE-GGA PmTiAgO4, relaxed
data_PmTiAgO4
_cell_length_a 6.2603
_cell_length_b 6.3880
_cell_length_c 6.8716
_cell_angle_alpha 90.00
_cell_angle_beta 105.59
_cell_angle_gamma 90.00
_space_group_name_H-M_alt 'P 1 21/m 1'
_space_group_IT_number 11
loop_
_space_group_symop_operation_xyz
'x,y,z'
'-x,-y,-z'
'-x,y+1/2,-z'
'x,-y+1/2,z'
loop_
_atom_site_label
_atom_site_fract_x
_atom_site_fract_y
_atom_site_fract_z
Pm1 0.1800 0.2500 0.0487
Ti1 0.2837 0.7500 0.8358
Ag1 0.4879 0.7500 0.3824
O1 0.0886 0.5369 0.8379
O2 0.4899 0.7500 0.0781
O3 0.4934 0.7500 0.6869
# E_form (uncorrected) in eV/atom: -2.4980
# N(E_F) in states/eV/cell: 0.00

(16)
# PBE-GGA Pm2TlAg2O6, relaxed
data_Pm2TlAg2O6
_cell_length_a 6.0599
_cell_length_b 11.4817
_cell_length_c 5.9628
_cell_angle_alpha 90.00
_cell_angle_beta 90.80
_cell_angle_gamma 90.00
_space_group_name_H-M_alt 'C 1 2/m 1'
_space_group_IT_number 12
loop_
_space_group_symop_operation_xyz
'x,y,z'
'-x,-y,-z'
'-x,y,-z'
'x,-y,z'
'x+1/2,y+1/2,z'
'-x+1/2,-y+1/2,-z'
'-x+1/2,y+1/2,-z'
'x+1/2,-y+1/2,z'
loop_
_atom_site_label
_atom_site_fract_x
_atom_site_fract_y
_atom_site_fract_z
Pm1 0.0000 0.1622 0.0000
Tl1 0.0000 0.5000 0.0000
Ag1 0.0000 0.3124 0.5000
O1 0.1698 0.3166 0.2019
O2 0.1976 0.0000 0.1504
# E_form (uncorrected) in eV/atom: -1.5758
# N(E_F) in states/eV/cell: 14.40

(17)
# PBE-GGA Pm2TlAgO5, relaxed
data_Pm2TlAgO5
_cell_length_a 6.8235
_cell_length_b 6.8235
_cell_length_c 6.0002
_cell_angle_alpha 90.00
_cell_angle_beta 90.00
_cell_angle_gamma 90.00
_space_group_name_H-M_alt 'P 4/m b m'
_space_group_IT_number 127
_space_group_name_Hall '-P 4 2ab'
loop_
_atom_site_label
_atom_site_fract_x
_atom_site_fract_y
_atom_site_fract_z
Pm1 0.1767 0.3233 0.0000
Tl1 0.0000 0.0000 0.5000
Ag1 0.0000 0.5000 0.5000
O1 0.0000 0.0000 0.0000
O2 0.1327 0.6327 0.2378
# E_form (uncorrected) in eV/atom: -1.9477
# N(E_F) in states/eV/cell: 1.04

(18)
# PBE-GGA PmTlAgO4, relaxed
data_PmTlAgO4
_cell_length_a 6.8070
_cell_length_b 7.2312
_cell_length_c 9.4836
_cell_angle_alpha 90.00
_cell_angle_beta 90.00
_cell_angle_gamma 90.00
_space_group_name_H-M_alt 'I m m a'
_space_group_IT_number 74
_space_group_name_Hall '-I 2b 2'
loop_
_atom_site_label
_atom_site_fract_x
_atom_site_fract_y
_atom_site_fract_z
Pm1 0.0000 0.0000 0.0000
Tl1 0.2500 0.2500 0.2500
Ag1 0.0000 0.2500 0.6240
O1 0.0000 0.0329 0.2505
O2 0.2215 0.2500 0.0022
# E_form (uncorrected) in eV/atom: -1.2786
# N(E_F) in states/eV/cell: 24.12

(19)
# PBE-GGA Pm2TlAg3O6, relaxed
data_Pm2TlAg3O6
_cell_length_a 6.2997
_cell_length_b 10.9054
_cell_length_c 6.6614
_cell_angle_alpha 90.00
_cell_angle_beta 107.97
_cell_angle_gamma 90.00
_space_group_name_H-M_alt 'C 1 2/m 1'
_space_group_IT_number 12
loop_
_space_group_symop_operation_xyz
'x,y,z'
'-x,-y,-z'
'-x,y,-z'
'x,-y,z'
'x+1/2,y+1/2,z'
'-x+1/2,-y+1/2,-z'
'-x+1/2,y+1/2,-z'
'x+1/2,-y+1/2,z'
loop_
_atom_site_label
_atom_site_fract_x
_atom_site_fract_y
_atom_site_fract_z
Pm1 0.0000 0.1667 0.0000
Tl1 0.0000 0.5000 0.0000
Ag1 0.0000 0.0000 0.5000
Ag2 0.0000 0.3392 0.5000
O1 0.1087 0.3359 0.8287
O2 0.1140 0.0000 0.8283
# E_form (uncorrected) in eV/atom: -1.5734

no.,final energy (Ry/atom)
1,-0.5327
2,-0.5232
3,-0.4630
4,-0.4888
5,-0.5692
6,-0.5828
7,-0.5154
8,-0.4725
9,-0.5174
10,-0.5311
11,-0.5327
12,-0.4263
13,-0.4809
14,-0.4329
15,-0.5546
16,-0.4320
17,-0.4658
18,-0.4069
19,-0.4229